Record 1
# ScBi2SbF

ScBi2SbF after structural relaxation (PBE-GGA, Alexandria via LeMat-Bulk).

Unit cell a=4.979 b=4.979 c=5.056 alpha=90.00 beta=90.00 gamma=90.00
Atoms (fractional coordinates):
Sc 0.000 0.000 0.000
Bi 0.000 0.500 0.500
Bi 0.500 0.000 0.500
Sb 0.500 0.500 0.000
F 0.500 0.500 0.500

Its density is 8.0 g/cm³. Its symmetry is No. 123. The uncorrected formation energy comes out at -0.4765 eV/atom. As for the density of states at the Fermi level: 3.54 states/eV/cell.


Record 2
# BiSb2TeF

BiSb2TeF after structural relaxation (PBE-GGA, Alexandria via LeMat-Bulk).

Unit cell a=5.867 b=5.867 c=5.913 alpha=90.00 beta=90.00 gamma=90.00
Atoms (fractional coordinates):
Bi 0.000 0.000 0.000
Sb 0.000 0.500 0.000
Sb 0.500 0.000 0.000
Te 0.000 0.000 0.500
F 0.500 0.500 0.500

Its density is 4.9 g/cm³. Its distance to the lowest polymorph of the same formula is 735 meV/atom. Its symmetry is No. 123. The uncorrected formation energy comes out at 0.6499 eV/atom. As for the density of states at the Fermi level: 7.64 states/eV/cell.


Record 3
# BiSb2TeF

BiSb2TeF after structural relaxation (PBE-GGA, Alexandria via LeMat-Bulk).

Unit cell a=4.804 b=4.804 c=5.710 alpha=90.00 beta=90.00 gamma=90.00
Atoms (fractional coordinates):
Bi 0.000 0.000 0.000
Sb 0.000 0.500 0.500
Sb 0.500 0.000 0.500
Te 0.500 0.500 0.000
F 0.500 0.500 0.500

Its density is 7.5 g/cm³. Its distance to the lowest polymorph of the same formula is 0 meV/atom. Its symmetry is No. 123. The uncorrected formation energy comes out at -0.0851 eV/atom. As for the density of states at the Fermi level: 3.12 states/eV/cell.


Record 4
# BiSbTe2F

BiSbTe2F after structural relaxation (PBE-GGA, Alexandria via LeMat-Bulk).

Unit cell a=5.678 b=5.678 c=4.266 alpha=90.00 beta=90.00 gamma=90.00
Atoms (fractional coordinates):
Bi 0.000 0.000 0.000
Sb 0.500 0.500 0.000
Te 0.000 0.500 0.500
Te 0.500 0.000 0.500
F 0.500 0.500 0.500

Its density is 7.3 g/cm³. Its distance to the lowest polymorph of the same formula is 0 meV/atom. Its symmetry is No. 123. The uncorrected formation energy comes out at -0.1039 eV/atom. As for the density of states at the Fermi level: 3.48 states/eV/cell.


Record 5
# BiSbTe2F

BiSbTe2F after structural relaxation (PBE-GGA, Alexandria via LeMat-Bulk).

Unit cell a=5.919 b=5.919 c=5.902 alpha=90.00 beta=90.00 gamma=90.00
Atoms (fractional coordinates):
Bi 0.000 0.000 0.000
Sb 0.000 0.000 0.500
Te 0.000 0.500 0.000
Te 0.500 0.000 0.000
F 0.500 0.500 0.500

Its density is 4.9 g/cm³. Its distance to the lowest polymorph of the same formula is 677 meV/atom. Its symmetry is No. 123. The uncorrected formation energy comes out at 0.5731 eV/atom. As for the density of states at the Fermi level: 10.89 states/eV/cell.


Record 6
# YBiSbF2

YBiSbF2 after structural relaxation (PBE-GGA, Alexandria via LeMat-Bulk).

Unit cell a=4.391 b=4.391 c=6.552 alpha=90.00 beta=90.00 gamma=90.00
Atoms (fractional coordinates):
Y 0.000 0.000 0.000
Bi 0.500 0.500 0.500
Sb 0.000 0.000 0.500
F 0.000 0.500 0.000
F 0.500 0.000 0.000

Its density is 6.0 g/cm³. Its symmetry is No. 123. The uncorrected formation energy comes out at -2.1365 eV/atom. As for the density of states at the Fermi level: 3.03 states/eV/cell.


Record 7
# Zn2BiSbF

Zn2BiSbF after structural relaxation (PBE-GGA, Alexandria via LeMat-Bulk).

Unit cell a=5.340 b=5.340 c=4.231 alpha=90.00 beta=90.00 gamma=90.00
Atoms (fractional coordinates):
Zn 0.000 0.500 0.000
Zn 0.500 0.000 0.000
Bi 0.000 0.000 0.500
Sb 0.500 0.500 0.000
F 0.500 0.500 0.500

Its density is 6.6 g/cm³. Its symmetry is No. 123. The uncorrected formation energy comes out at -0.2537 eV/atom. As for the density of states at the Fermi level: 2.64 states/eV/cell.


Record 8
# ScBi2F2

ScBi2F2 after structural relaxation (PBE-GGA, Alexandria via LeMat-Bulk).

Unit cell a=5.409 b=5.409 c=5.409 alpha=109.80 beta=109.80 gamma=108.81
Atoms (fractional coordinates):
Sc 0.000 0.000 0.000
Bi 0.250 0.750 0.500
Bi 0.750 0.250 0.500
F 0.303 0.303 0.000
F 0.697 0.697 0.000

Its density is 6.8 g/cm³. Its distance to the lowest polymorph of the same formula is 378 meV/atom. Its symmetry is No. 139. The uncorrected formation energy comes out at -1.4135 eV/atom. As for the density of states at the Fermi level: 1.51 states/eV/cell.